FeTe3O: relaxed, GGA+U.

Properties
- SG = Pm-3m
- magnetic moment (μB per formula unit) = 5.33
- total energy (Ry/atom) = -0.221

Cell: 5.1263 5.1263 5.1263 Å, 90.00 90.00 90.00°
Sites, in units of the cell vectors:
Te 0.0000 0.5000 0.0000
Te 0.0000 0.0000 0.5000
Te 0.5000 0.0000 0.0000
Fe 0.0000 0.0000 0.0000
O 0.5000 0.5000 0.5000